[1]
Density functional theory data (GGA-PBEsol) for a relaxed structure of LiZnSb.

Cell lengths 4.3728, 4.3728, 3.8479 Å; angles 90.00, 90.00, 120.00 degrees
Space group P3m1 (No. 156)
Asymmetric unit:
Li: 0.0000 0.0000 0.0000
Zn: 0.6667 0.3333 0.6161
Sb: 0.3333 0.6667 0.4665

Density, g/cm³: 5.06
Uncorrected formation energy, eV per atom: -0.177



[2]
Density functional theory data (GGA-PBEsol) for a relaxed structure of CeP12Os4.

Cell lengths 8.0463, 8.0463, 8.0463 Å; angles 90.00, 90.00, 90.00 degrees
Space group Im-3 (No. 204)
Asymmetric unit:
Ce: 0.0000 0.0000 0.0000
P: 0.0000 0.3549 0.1437
Os: 0.2500 0.2500 0.2500

Density, g/cm³: 8.11



[3]
Density functional theory data (GGA-PBEsol) for a relaxed structure of LiZr2Os.

Cell lengths 6.5279, 6.5279, 6.5279 Å; angles 90.00, 90.00, 90.00 degrees
Space group Fm-3m (No. 225)
Asymmetric unit:
Li: 0.0000 0.0000 0.0000
Zr: 0.2500 0.2500 0.2500
Os: 0.0000 0.0000 0.5000

Density, g/cm³: 9.06
Energy above the most stable polymorph in this dataset, meV/atom: 0.0



[4]
Density functional theory data (GGA-PBEsol) for a relaxed structure of TlRuW.

Cell lengths 2.9457, 2.9457, 11.7515 Å; angles 90.00, 90.00, 90.00 degrees
Space group I4mm (No. 107)
Asymmetric unit:
Tl: 0.0000 0.0000 0.0000
Ru: 0.0000 0.0000 0.3191
W: 0.0000 0.0000 0.6901

Density, g/cm³: 15.94
Energy above the most stable polymorph in this dataset, meV/atom: 0.0



[5]
Density functional theory data (GGA-PBEsol) for a relaxed structure of Zn2CuAs.

Cell lengths 8.0304, 2.9701, 5.1022 Å; angles 90.00, 101.27, 90.00 degrees
Space group Cm (No. 8)
Asymmetric unit:
Zn: 0.0000 0.0000 0.0000
Zn: 0.2482 0.0000 0.7684
Cu: 0.0040 0.5000 0.5600
As: 0.2607 0.5000 0.3045

Density, g/cm³: 7.49



[6]
Density functional theory data (GGA-PBEsol) for a relaxed structure of FeAs2Pt.

Cell lengths 3.0782, 3.0782, 6.0962 Å; angles 90.00, 90.00, 90.00 degrees
Space group P4/mmm (No. 123)
Asymmetric unit:
Fe: 0.0000 0.0000 0.0000
As: 0.5000 0.5000 0.2272
Pt: 0.0000 0.0000 0.5000

Density, g/cm³: 11.52
Energy above the most stable polymorph in this dataset, meV/atom: 71.3



[7]
Density functional theory data (GGA-PBEsol) for a relaxed structure of Y2MnRe.

Cell lengths 4.1963, 4.1963, 9.0543 Å; angles 90.00, 90.00, 90.00 degrees
Space group I-4m2 (No. 119)
Asymmetric unit:
Y: 0.0000 0.0000 0.0000
Y: 0.0000 0.5000 0.2500
Mn: 0.0000 0.0000 0.5000
Re: 0.0000 0.5000 0.7500

Density, g/cm³: 8.73
Energy above the most stable polymorph in this dataset, meV/atom: 226.3



[8]
Density functional theory data (GGA-PBEsol) for a relaxed structure of Mg2SbTe.

Cell lengths 4.9454, 4.9454, 7.8780 Å; angles 90.00, 90.00, 90.00 degrees
Space group I4/mmm (No. 139)
Asymmetric unit:
Mg: 0.0000 0.5000 0.2500
Sb: 0.0000 0.0000 0.0000
Te: 0.0000 0.0000 0.5000

Density, g/cm³: 5.14
Uncorrected formation energy, eV per atom: -0.219
Energy above the most stable polymorph in this dataset, meV/atom: 259.5



[9]
Density functional theory data (GGA-PBEsol) for a relaxed structure of LaY.

Cell lengths 4.0369, 4.0369, 4.0369 Å; angles 90.00, 90.00, 90.00 degrees
Space group Pm-3m (No. 221)
Asymmetric unit:
La: 0.0000 0.0000 0.0000
Y: 0.5000 0.5000 0.5000

Density, g/cm³: 5.75
Energy above the most stable polymorph in this dataset, meV/atom: 81.6



[10]
Density functional theory data (GGA-PBEsol) for a relaxed structure of Tc2Mo2Br.

Cell lengths 4.0235, 4.0235, 11.7700 Å; angles 90.00, 90.00, 90.00 degrees
Space group I4/mmm (No. 139)
Asymmetric unit:
Tc: 0.0000 0.0000 0.1266
Mo: 0.0000 0.5000 0.2500
Br: 0.0000 0.0000 0.5000

Density, g/cm³: 8.15
Uncorrected formation energy, eV per atom: 0.747



[11]
Density functional theory data (GGA-PBEsol) for a relaxed structure of YTiInAg2.

Cell lengths 4.8664, 4.8664, 5.1187 Å; angles 90.00, 90.00, 90.00 degrees
Space group P4/mmm (No. 123)
Asymmetric unit:
Y: 0.0000 0.0000 0.0000
Ti: 0.5000 0.5000 0.5000
In: 0.5000 0.5000 0.0000
Ag: 0.0000 0.5000 0.5000

Density, g/cm³: 6.40



[12]
Density functional theory data (GGA-PBEsol) for a relaxed structure of KLiCaLa2.

Cell lengths 5.6809, 5.6809, 6.1702 Å; angles 90.00, 90.00, 90.00 degrees
Space group P4/mmm (No. 123)
Asymmetric unit:
K: 0.0000 0.0000 0.0000
Li: 0.0000 0.0000 0.5000
Ca: 0.5000 0.5000 0.0000
La: 0.0000 0.5000 0.5000

Density, g/cm³: 3.03



[13]
Density functional theory data (GGA-PBEsol) for a relaxed structure of TcAgAsSe2.

Cell lengths 4.8427, 4.8427, 4.7072 Å; angles 90.00, 90.00, 90.00 degrees
Space group P4/mmm (No. 123)
Asymmetric unit:
Tc: 0.0000 0.0000 0.0000
Ag: 0.5000 0.5000 0.5000
As: 0.0000 0.0000 0.5000
Se: 0.0000 0.5000 0.0000

Density, g/cm³: 6.60
Uncorrected formation energy, eV per atom: 0.550



[14]
Density functional theory data (GGA-PBEsol) for a relaxed structure of Ca2MnCr.

Cell lengths 3.2401, 3.2401, 8.6342 Å; angles 90.00, 90.00, 90.00 degrees
Space group P4mm (No. 99)
Asymmetric unit:
Ca: 0.0000 0.0000 0.0000
Ca: 0.5000 0.5000 0.3850
Mn: 0.5000 0.5000 0.7382
Cr: 0.0000 0.0000 0.6527

Density, g/cm³: 3.43
Energy above the most stable polymorph in this dataset, meV/atom: 0.0



[15]
Density functional theory data (GGA-PBEsol) for a relaxed structure of MgPPt2.

Cell lengths 4.0237, 4.0237, 3.6107 Å; angles 90.00, 90.00, 90.00 degrees
Space group P4/mmm (No. 123)
Asymmetric unit:
Mg: 0.0000 0.0000 0.0000
P: 0.5000 0.5000 0.0000
Pt: 0.0000 0.5000 0.5000

Density, g/cm³: 12.65



Number 1: raw total energy -8.64 eV for the cell shown, spin magnetization 0.00 μB per cell. Number 2: raw total energy -273.17 eV for the cell shown, spin magnetization 0.40 μB per cell. Number 3: raw total energy -134.33 eV for the cell shown, spin magnetization 0.00 μB per cell. Number 4: raw total energy -50.54 eV for the cell shown, spin magnetization 0.00 μB per cell. Number 5: raw total energy -24.49 eV for the cell shown, spin magnetization 0.00 μB per cell. Number 6: raw total energy -25.93 eV for the cell shown, spin magnetization 1.74 μB per cell. Number 7: raw total energy -69.34 eV for the cell shown, spin magnetization 7.74 μB per cell. Number 8: raw total energy -24.78 eV for the cell shown, spin magnetization 0.00 μB per cell. Number 9: raw total energy -12.00 eV for the cell shown, spin magnetization 0.00 μB per cell. Number 10: raw total energy -88.41 eV for the cell shown, spin magnetization 0.00 μB per cell. Number 11: raw total energy -22.33 eV for the cell shown, spin magnetization 0.97 μB per cell. Number 12: raw total energy -12.95 eV for the cell shown, spin magnetization 0.06 μB per cell. Number 13: raw total energy -24.64 eV for the cell shown, spin magnetization 0.00 μB per cell. Number 14: raw total energy -22.46 eV for the cell shown, spin magnetization 0.26 μB per cell. Number 15: raw total energy -23.12 eV for the cell shown, spin magnetization 0.00 μB per cell.